Density functional theory data (PBE) for an optimized crystal structure of Pr3Si3Au2.

The energy comes out at -43.13 eV per formula unit. For the calculated volume, the calculation gives 187.9 Å³/f.u. The calculation puts the formation energy without anion corrections at -0.746 eV/atom.

The space group is Cmcm (No. 63) and the conventional cell measures 4.345, 11.157 and 15.502 Å, with angles of 90.00, 90.00 and 90.00 degrees. The asymmetric unit holds Pr at (0.000, 0.073, 0.250), Pr at (0.000, 0.361, 0.096), Si at (0.000, 0.076, 0.053), Si at (0.000, 0.205, 0.750) and Au at (0.000, 0.348, 0.615).


Density functional theory data (PBE) for an optimized crystal structure of CsK2AuF6.

The energy comes out at -37.25 eV per formula unit. For the calculated volume, the calculation gives 232.0 Å³/f.u. The calculation puts the formation energy without anion corrections at -1.970 eV/atom.

The space group is Fm-3m (No. 225) and the conventional cell measures 9.754, 9.754 and 9.754 Å, with angles of 90.00, 90.00 and 90.00 degrees. The asymmetric unit holds Cs at (0.000, 0.000, 0.000), K at (0.250, 0.250, 0.250), Au at (0.000, 0.000, 0.500) and F at (0.000, 0.000, 0.280).


Density functional theory data (PBE) for an optimized crystal structure of BeSiP2.

The polymorph energy (0 for the lowest one) comes out at 684 meV per atom. The energy comes out at -18.75 eV per formula unit. For the calculated volume, the calculation gives 54.8 Å³/f.u. The calculation puts the formation energy without anion corrections at 0.306 eV/atom.

The space group is Imm2 (No. 44) and the conventional cell measures 3.248, 3.262 and 10.349 Å, with angles of 90.00, 90.00 and 90.00 degrees. The asymmetric unit holds Be at (0.000, 0.000, 0.000), Si at (0.000, 0.500, 0.236), P at (0.000, 0.000, 0.564) and P at (0.000, 0.500, 0.842).